A relaxed structure of TcAs2O, computed with PBE.

```
data_TcAs2O
_symmetry_space_group_name_H-M 'I -4 2 d'
_symmetry_Int_Tables_number 122
_symmetry_space_group_name_Hall 'I -4 2bw'
_cell_length_a 5.318
_cell_length_b 5.318
_cell_length_c 10.265
_cell_angle_alpha 90.00
_cell_angle_beta 90.00
_cell_angle_gamma 90.00
loop_
_atom_site_label
_atom_site_type_symbol
_atom_site_fract_x
_atom_site_fract_y
_atom_site_fract_z
_atom_site_occupancy
Tc1 Tc 0.000 0.000 0.000 1
As1 As 0.223 0.250 0.625 1
O1 O 0.000 0.000 0.500 1
```

Calculated values
Magnetic moment in μB per formula unit: 0.0
Uncorrected formation energy in meV per atom: 112
Calculated density in Mg/m³: 6.0
Total energy in eV for the cell shown: -96.71